Entry from Alexandria via LeMat-Bulk: crystalline FeCu2Se at its relaxed geometry (PBE).

Electronic total energy: -4.802 eV per atom
Space group: Cm

Structure (POSCAR):
```
FeCu2Se
1.0
4.5095 -0.0725 0.2702
3.3807 2.9852 0.2702
1.1353 0.4191 4.0892
Cu Fe Se
2 1 1
Direct
0.0008 0.0008 0.9433 Cu
0.7468 0.7468 0.7926 Cu
0.5124 0.5124 0.4297 Fe
0.2401 0.2401 0.3344 Se
```


Entry from Alexandria via LeMat-Bulk: crystalline BeSiSe at its relaxed geometry (PBE).

Distance to the lowest polymorph of the same formula: 0.000 eV/atom
Electronic total energy: -4.615 eV per atom
Space group: P3m1

Structure (POSCAR):
```
BeSiSe
1.0
-0.4230 3.5478 1.1483
-0.8549 -2.8336 2.3074
8.6365 -0.0043 3.1947
Be Si Se
2 2 2
Direct
0.0000 0.0000 0.9187 Be
0.3333 0.6667 0.2400 Be
0.0000 0.0000 0.6727 Si
0.6667 0.3333 0.5852 Si
0.6667 0.3333 0.3199 Se
0.3333 0.6667 0.0001 Se
```


Entry from Alexandria via LeMat-Bulk: crystalline MnCd2Ag at its relaxed geometry (PBE).

Formation enthalpy at 0 K: 0.7 eV per formula unit
Electronic total energy: -3.295 eV per atom
Space group: Imm2

Structure (POSCAR):
```
MnCd2Ag
1.0
5.5708 0.0044 0.0092
2.5121 4.9723 -0.0092
-3.5106 -3.3505 2.7357
Ag Cd Mn
1 2 1
Direct
0.2591 0.7591 0.5000 Ag
0.0044 0.0044 0.0000 Cd
0.7418 0.2418 0.5000 Cd
0.4947 0.4947 0.0000 Mn
```


Entry from Alexandria via LeMat-Bulk: crystalline EuB4Ru at its relaxed geometry (PBE).

Formation enthalpy at 0 K: -2.5 eV per formula unit
Electronic total energy: -8.126 eV per atom
Space group: Pbam

Structure (POSCAR):
```
EuB4Ru
1.0
3.5861 0.0000 0.0000
0.0000 6.0361 0.0000
0.0000 0.0000 11.6889
Eu B Ru
4 16 4
Direct
0.0000 0.6275 0.3495 Eu
0.0000 0.3725 0.6505 Eu
0.0000 0.1275 0.1505 Eu
0.0000 0.8725 0.8495 Eu
0.5000 0.7840 0.1843 B
0.5000 0.2160 0.8157 B
0.5000 0.2840 0.3157 B
0.5000 0.7160 0.6843 B
0.5000 0.8621 0.0313 B
0.5000 0.1379 0.9687 B
0.5000 0.3621 0.4687 B
0.5000 0.6379 0.5313 B
0.5000 0.8883 0.4538 B
0.5000 0.1117 0.5462 B
0.5000 0.3883 0.0462 B
0.5000 0.6117 0.9538 B
0.5000 0.9754 0.3096 B
0.5000 0.0246 0.6904 B
0.5000 0.4754 0.1904 B
0.5000 0.5246 0.8096 B
0.0000 0.6352 0.0887 Ru
0.0000 0.3648 0.9113 Ru
0.0000 0.1352 0.4113 Ru
0.0000 0.8648 0.5887 Ru
```


Entry from Alexandria via LeMat-Bulk: crystalline Ce4Os2Pd at its relaxed geometry (PBE).

Formation enthalpy at 0 K: -2.3 eV per formula unit
Electronic total energy: -7.664 eV per atom
Space group: C2

Structure (POSCAR):
```
Ce4Os2Pd
1.0
-2.9438 -6.5863 -2.1750
6.2513 1.5588 -3.9171
1.7539 -0.4175 7.3205
Ce Os Pd
8 4 2
Direct
0.9886 0.2409 0.3771 Ce
0.3863 0.5094 0.2478 Ce
0.8637 0.6113 0.6230 Ce
0.7588 0.1364 0.7474 Ce
0.3881 0.0114 0.2519 Ce
0.2614 0.1387 0.7524 Ce
0.4912 0.7386 0.8775 Ce
0.8618 0.6138 0.1231 Ce
0.4869 0.3749 0.6117 Os
0.7632 0.8749 0.3881 Os
0.6251 0.2368 0.1119 Os
0.1250 0.5128 0.8878 Os
0.2501 0.7500 0.5004 Pd
0.9998 0.0002 0.9997 Pd
```


Entry from Alexandria via LeMat-Bulk: crystalline ZrGaBi3 at its relaxed geometry (PBE).

Distance to the lowest polymorph of the same formula: 0.419 eV/atom
Formation enthalpy at 0 K: 3.6 eV per formula unit
Electronic total energy: -3.922 eV per atom
Space group: Pm-3m

Structure (POSCAR):
```
ZrGaBi3
1.0
-5.3460 -0.5953 0.3617
0.3682 -0.0387 5.3785
-0.5913 5.3581 0.0790
Ga Bi Zr
1 3 1
Direct
0.0000 0.0000 0.0000 Ga
0.0000 0.5000 0.0000 Bi
0.0000 0.0000 0.5000 Bi
0.5000 0.0000 0.0000 Bi
0.5000 0.5000 0.5000 Zr
```


Entry from Alexandria via LeMat-Bulk: crystalline Mg4SbCl at its relaxed geometry (PBE).

Electronic total energy: -2.187 eV per atom
Space group: F-43m

Structure (POSCAR):
```
Mg4SbCl
1.0
0.0000 4.1728 4.1728
4.1728 0.0000 4.1728
4.1728 4.1728 0.0000
Mg Sb Cl
4 1 1
Direct
0.8707 0.3764 0.3764 Mg
0.3764 0.3764 0.8707 Mg
0.3764 0.8707 0.3764 Mg
0.3764 0.3764 0.3764 Mg
0.7500 0.7500 0.7500 Sb
0.0000 0.0000 0.0000 Cl
```


Entry from Alexandria via LeMat-Bulk: crystalline MnAg3 at its relaxed geometry (PBE).

Formation enthalpy at 0 K: 0.7 eV per formula unit
Electronic total energy: -4.245 eV per atom
Space group: I4/mmm

Structure (POSCAR):
```
MnAg3
1.0
-5.7567 1.2752 6.3130
-8.3342 1.9783 1.1163
6.3649 -4.4676 -3.7614
Mn Ag
2 6
Direct
0.3741 0.3741 0.0000 Mn
0.6259 0.6259 0.0000 Mn
0.5000 0.0000 0.5000 Ag
0.1245 0.1245 0.0000 Ag
0.8755 0.8755 0.0000 Ag
0.7500 0.2500 0.5000 Ag
0.2500 0.7500 0.5000 Ag
0.0000 0.5000 0.5000 Ag
```


Entry from Alexandria via LeMat-Bulk: crystalline LiGaTcW at its relaxed geometry (PBE).

Formation enthalpy at 0 K: -0.1 eV per formula unit
Electronic total energy: -7.098 eV per atom
Space group: F-43m

Structure (POSCAR):
```
LiGaTcW
1.0
4.3203 0.0000 0.0000
2.1602 3.7415 0.0000
2.1602 1.2472 3.5275
Ga Tc W Li
1 1 1 1
Direct
0.7500 0.7500 0.7500 Ga
0.0000 0.0000 0.0000 Tc
0.2500 0.2500 0.2500 W
0.5000 0.5000 0.5000 Li
```


Entry from Alexandria via LeMat-Bulk: crystalline ZrZn2Tc at its relaxed geometry (PBE).

Distance to the lowest polymorph of the same formula: 0.000 eV/atom
Formation enthalpy at 0 K: -0.9 eV per formula unit
Electronic total energy: -5.585 eV per atom
Space group: Immm

Structure (POSCAR):
```
ZrZn2Tc
1.0
-1.7399 4.6260 1.0335
-1.2133 0.6741 4.8548
4.0489 -1.7875 -2.4305
Zn Tc Zr
2 1 1
Direct
0.9997 0.9997 0.0000 Zn
0.5003 0.5003 0.0000 Zn
0.7500 0.2500 0.5000 Tc
0.2500 0.7500 0.5000 Zr
```


Entry from Alexandria via LeMat-Bulk: crystalline AcScAs2 at its relaxed geometry (PBE).

Distance to the lowest polymorph of the same formula: 0.413 eV/atom
Formation enthalpy at 0 K: -3.7 eV per formula unit
Electronic total energy: -5.865 eV per atom
Space group: Fm-3m

Structure (POSCAR):
```
AcScAs2
1.0
5.1699 0.0000 0.0000
2.5850 4.4773 0.0000
2.5850 1.4924 4.2212
Sc Ac As
1 1 2
Direct
0.5000 0.5000 0.5000 Sc
0.0000 0.0000 0.0000 Ac
0.2500 0.2500 0.2500 As
0.7500 0.7500 0.7500 As
```


Entry from Alexandria via LeMat-Bulk: crystalline Ho3Er2N4 at its relaxed geometry (PBE).

Electronic total energy: -7.784 eV per atom
Space group: C2/m

Structure (POSCAR):
```
Ho3Er2N4
1.0
-0.5362 2.3988 2.4287
-2.3681 -2.4540 -0.5574
6.3976 -8.3509 9.6833
Ho Er N
3 2 4
Direct
0.6657 0.3343 0.3842 Ho
0.0000 0.0000 0.0000 Ho
0.3343 0.6657 0.6158 Ho
0.6671 0.3329 0.8088 Er
0.3329 0.6671 0.1912 Er
0.3336 0.6664 0.8997 N
0.9992 0.0008 0.2991 N
0.0008 0.9992 0.7009 N
0.6664 0.3336 0.1003 N
```


Ρ, record by record: 7.91 3.43 8.51 7.78 10.56 8.35 2.91 9.06 10.44 8.24 7.17 9.94 g cm⁻³